Entry 1:
VASP calculation (PBE-GGA) on an optimized crystal structure of MgCuBr2.

abc: 5.059 5.059 5.059
angles: 60.00 60.00 60.00
Fractional coordinates of all 4 atoms:
Mg: 0.000 0.000 0.000
Cu: 0.750 0.750 0.750
Br: 0.250 0.250 0.250
Br: 0.500 0.500 0.500

Output
polymorph energy (0 for the lowest one)	637	meV per atom
Fermi-level density of states	2.95	states/eV/cell
formation energy (no corrections)	0.135	eV per atom
total moment	0.0005	μB/atom

***

Entry 2:
VASP calculation (PBE-GGA) on an optimized crystal structure of Ta2BeTl.

abc: 4.604 4.604 4.604
angles: 60.00 60.00 60.00
Fractional coordinates of all 4 atoms:
Ta: 0.250 0.250 0.250
Ta: 0.750 0.750 0.750
Be: 0.000 0.000 0.000
Tl: 0.500 0.500 0.500

Output
polymorph energy (0 for the lowest one)	441	meV per atom
Fermi-level density of states	2.54	states/eV/cell
E_form	0.744	eV per atom
total moment	0.0000	μB/atom

***

Entry 3:
VASP calculation (PBE-GGA) on an optimized crystal structure of Tb5Pm2Dy2.

abc: 10.092 10.092 10.092
angles: 84.74 108.39 140.92
Fractional coordinates of all 18 atoms:
Tb: 0.248 0.052 0.300
Tb: 0.248 0.448 0.696
Tb: 0.442 0.035 0.121
Tb: 0.442 0.821 0.908
Tb: 0.446 0.450 0.495
Tb: 0.752 0.552 0.304
Tb: 0.752 0.948 0.700
Tb: 0.913 0.321 0.879
Tb: 0.913 0.535 0.092
Tb: 0.955 0.950 0.505
Pm: 0.351 0.224 0.873
Pm: 0.351 0.478 0.127
Pm: 0.351 0.724 0.373
Pm: 0.351 0.978 0.627
Dy: 0.813 0.313 0.500
Dy: 0.813 0.813 0.000
Dy: 0.888 0.148 0.239
Dy: 0.909 0.648 0.761

Output
polymorph energy (0 for the lowest one)	0	meV per atom
Fermi-level density of states	28.36	states/eV/cell
E_form	0.213	eV per atom
total moment	0.0000	μB/atom

***

Entry 4:
VASP calculation (PBE-GGA) on an optimized crystal structure of Rb2SiSBr6.

abc: 7.742 7.742 7.742
angles: 122.29 122.29 86.08
Fractional coordinates of all 10 atoms:
Rb: 0.250 0.750 0.500
Rb: 0.750 0.250 0.500
Si: 0.000 0.000 0.000
S: 0.500 0.500 0.000
Br: 0.221 0.221 0.000
Br: 0.239 0.239 0.477
Br: 0.239 0.761 0.000
Br: 0.761 0.239 0.000
Br: 0.761 0.761 0.523
Br: 0.779 0.779 0.000

Output
Fermi-level density of states	4.50	states/eV/cell
formation energy (no corrections)	-0.768	eV per atom
total moment	0.0001	μB/atom

***

Entry 5:
VASP calculation (PBE-GGA) on an optimized crystal structure of Ce2ErSi3Ir4.

abc: 4.116 4.116 11.018
angles: 90.00 90.00 90.00
Fractional coordinates of all 10 atoms:
Ce: 0.000 0.500 0.233
Ce: 0.500 0.000 0.767
Er: 0.000 0.000 0.500
Si: 0.000 0.500 0.882
Si: 0.500 0.000 0.118
Si: 0.500 0.500 0.500
Ir: 0.000 0.000 0.000
Ir: 0.000 0.500 0.664
Ir: 0.500 0.000 0.336
Ir: 0.500 0.500 0.000

Output
Fermi-level density of states	8.70	states/eV/cell
formation energy (no corrections)	-0.955	eV per atom
total moment	0.1292	μB/atom

***

Entry 6:
VASP calculation (PBE-GGA) on an optimized crystal structure of Ta2MoAs.

abc: 5.039 5.039 5.039
angles: 132.97 132.97 68.70
Fractional coordinates of all 4 atoms:
Ta: 0.250 0.750 0.500
Ta: 0.750 0.250 0.500
Mo: 0.000 0.000 0.000
As: 0.500 0.500 0.000

Output
Fermi-level density of states	2.89	states/eV/cell
E_form	0.057	eV per atom
total moment	0.0000	μB/atom

***

Entry 7:
VASP calculation (PBE-GGA) on an optimized crystal structure of ScAl4Ga.

abc: 5.366 5.366 5.366
angles: 60.00 60.00 60.00
Fractional coordinates of all 6 atoms:
Sc: 0.000 0.000 0.000
Al: 0.123 0.626 0.626
Al: 0.626 0.123 0.626
Al: 0.626 0.626 0.123
Al: 0.626 0.626 0.626
Ga: 0.250 0.250 0.250

Output
polymorph energy (0 for the lowest one)	0	meV per atom
Fermi-level density of states	3.29	states/eV/cell
E_form	-0.159	eV per atom
total moment	0.0000	μB/atom

***

Entry 8:
VASP calculation (PBE-GGA) on an optimized crystal structure of DyThCu4.

abc: 5.311 5.311 5.311
angles: 60.00 60.00 60.00
Fractional coordinates of all 6 atoms:
Dy: 0.000 0.000 0.000
Th: 0.250 0.250 0.250
Cu: 0.123 0.626 0.626
Cu: 0.626 0.123 0.626
Cu: 0.626 0.626 0.123
Cu: 0.626 0.626 0.626

Output
polymorph energy (0 for the lowest one)	134	meV per atom
Fermi-level density of states	6.09	states/eV/cell
E_form	-0.095	eV per atom
total moment	0.0000	μB/atom

***

Entry 9:
VASP calculation (PBE-GGA) on an optimized crystal structure of BaTcPO2.

abc: 4.204 4.204 4.578
angles: 90.00 90.00 90.00
Fractional coordinates of all 5 atoms:
Ba: 0.000 0.000 0.000
Tc: 0.500 0.500 0.000
P: 0.500 0.500 0.500
O: 0.000 0.500 0.500
O: 0.500 0.000 0.500

Output
polymorph energy (0 for the lowest one)	875	meV per atom
Fermi-level density of states	2.93	states/eV/cell
formation energy (no corrections)	-0.193	eV per atom
total moment	0.4087	μB/atom

***

Entry 10:
VASP calculation (PBE-GGA) on an optimized crystal structure of NpNbMoRu.

abc: 4.640 4.640 4.640
angles: 60.00 60.00 60.00
Fractional coordinates of all 4 atoms:
Np: 0.000 0.000 0.000
Nb: 0.500 0.500 0.500
Mo: 0.750 0.750 0.750
Ru: 0.250 0.250 0.250

Output
Fermi-level density of states	4.33	states/eV/cell
E_form	0.052	eV per atom
total moment	0.7184	μB/atom

***

Entry 11:
VASP calculation (PBE-GGA) on an optimized crystal structure of Hg12S5Br3.

abc: 14.752 14.752 14.752
angles: 109.47 109.47 109.47
Fractional coordinates of all 80 atoms:
Hg: 0.018 0.206 0.077
Hg: 0.018 0.312 0.941
Hg: 0.059 0.577 0.372
Hg: 0.059 0.982 0.688
Hg: 0.077 0.018 0.206
Hg: 0.077 0.559 0.872
Hg: 0.128 0.706 0.688
Hg: 0.128 0.923 0.441
Hg: 0.188 0.206 0.628
Hg: 0.188 0.482 0.559
Hg: 0.206 0.077 0.018
Hg: 0.206 0.628 0.188
Hg: 0.294 0.312 0.872
Hg: 0.294 0.482 0.423
Hg: 0.312 0.872 0.294
Hg: 0.312 0.941 0.018
Hg: 0.372 0.059 0.577
Hg: 0.372 0.812 0.794
Hg: 0.423 0.294 0.482
Hg: 0.423 0.628 0.941
Hg: 0.441 0.128 0.923
Hg: 0.441 0.812 0.518
Hg: 0.482 0.423 0.294
Hg: 0.482 0.559 0.188
Hg: 0.518 0.441 0.812
Hg: 0.518 0.577 0.706
Hg: 0.559 0.188 0.482
Hg: 0.559 0.872 0.077
Hg: 0.577 0.372 0.059
Hg: 0.577 0.706 0.518
Hg: 0.628 0.188 0.206
Hg: 0.628 0.941 0.423
Hg: 0.688 0.059 0.982
Hg: 0.688 0.128 0.706
Hg: 0.706 0.518 0.577
Hg: 0.706 0.688 0.128
Hg: 0.794 0.372 0.812
Hg: 0.794 0.923 0.982
Hg: 0.812 0.518 0.441
Hg: 0.812 0.794 0.372
Hg: 0.872 0.077 0.559
Hg: 0.872 0.294 0.312
Hg: 0.923 0.441 0.128
Hg: 0.923 0.982 0.794
Hg: 0.941 0.018 0.312
Hg: 0.941 0.423 0.628
Hg: 0.982 0.688 0.059
Hg: 0.982 0.794 0.923
S: 0.000 0.000 0.000
S: 0.000 0.000 0.500
S: 0.000 0.500 0.000
S: 0.000 0.500 0.500
S: 0.125 0.750 0.875
S: 0.125 0.875 0.250
S: 0.250 0.125 0.875
S: 0.250 0.625 0.375
S: 0.375 0.250 0.625
S: 0.375 0.625 0.750
S: 0.500 0.000 0.000
S: 0.500 0.000 0.500
S: 0.500 0.500 0.000
S: 0.500 0.500 0.500
S: 0.625 0.375 0.250
S: 0.625 0.750 0.375
S: 0.750 0.375 0.625
S: 0.750 0.875 0.125
S: 0.875 0.125 0.750
S: 0.875 0.250 0.125
Br: 0.125 0.250 0.375
Br: 0.125 0.375 0.750
Br: 0.250 0.375 0.125
Br: 0.250 0.875 0.625
Br: 0.375 0.125 0.250
Br: 0.375 0.750 0.125
Br: 0.625 0.250 0.875
Br: 0.625 0.875 0.750
Br: 0.750 0.125 0.375
Br: 0.750 0.625 0.875
Br: 0.875 0.625 0.250
Br: 0.875 0.750 0.625

Output
Fermi-level density of states	28.74	states/eV/cell
formation energy (no corrections)	0.053	eV per atom
total moment	0.0000	μB/atom

***

Entry 12:
VASP calculation (PBE-GGA) on an optimized crystal structure of Cd5Bi2Pd12.

abc: 7.851 7.851 6.119
angles: 93.68 93.68 65.81
Fractional coordinates of all 19 atoms:
Cd: 0.000 0.000 0.000
Cd: 0.243 0.243 0.013
Cd: 0.331 0.331 0.588
Cd: 0.669 0.669 0.412
Cd: 0.757 0.757 0.987
Bi: 0.230 0.770 0.500
Bi: 0.770 0.230 0.500
Pd: 0.049 0.554 0.297
Pd: 0.137 0.137 0.383
Pd: 0.171 0.625 0.904
Pd: 0.375 0.829 0.096
Pd: 0.446 0.951 0.703
Pd: 0.455 0.455 0.225
Pd: 0.545 0.545 0.775
Pd: 0.554 0.049 0.297
Pd: 0.625 0.171 0.904
Pd: 0.829 0.375 0.096
Pd: 0.863 0.863 0.617
Pd: 0.951 0.446 0.703

Output
Fermi-level density of states	8.60	states/eV/cell
E_form	-0.274	eV per atom
total moment	0.0000	μB/atom